The following is a PBE calculation of a relaxed structure of Tb2Nd6HoTm, from Alexandria.

crystal system	monoclinic
ΔE_f	0.1159	eV/atom
space-group type	C2/c, No. 15

Lattice parameters (Å, degrees): 9.646 8.966 8.966 117.89 93.84 93.84
Atoms (fractional coordinates):
Tb 0.455 0.800 0.701
Tb 0.045 0.299 0.200
Tb 0.545 0.200 0.299
Tb 0.955 0.701 0.800
Nd 0.054 0.119 0.763
Nd 0.446 0.237 0.881
Nd 0.946 0.881 0.237
Nd 0.554 0.763 0.119
Nd 0.310 0.991 0.434
Nd 0.190 0.566 0.009
Nd 0.690 0.009 0.566
Nd 0.810 0.434 0.991
Nd 0.117 0.709 0.492
Nd 0.383 0.508 0.291
Nd 0.883 0.291 0.508
Nd 0.617 0.492 0.709
Ho 0.250 0.974 0.026
Ho 0.750 0.026 0.974
Tm 0.250 0.412 0.588
Tm 0.750 0.588 0.412